Mg3TeBr | SCAN | single point on PBEsol structure

Formation energy (no corrections) = 0.1705 eV per atom
Total magnetization = 0.000 μB/f.u.

Cell: 5.2832 5.2832 5.2832 Å, 90.00 90.00 90.00°
Last column: nearest neighbours and their distance in Å.
Space group Pm-3m (No. 221)
Inequivalent atoms, fractional coordinates:
Mg 0.0000 0.0000 0.5000 (multiplicity 3)  2 Br 2.64
Te 0.5000 0.5000 0.5000 (multiplicity 1)  12 Mg 3.74
Br 0.0000 0.0000 0.0000 (multiplicity 1)  6 Mg 2.64

***

KAlTc2 | SCAN | single point on PBEsol structure

ΔH_f (0 K) = 668 meV/atom
Total magnetization = 0.000 μB/f.u.

Cell: 9.2427 2.7057 6.7511 Å, 90.00 95.45 90.00°
Last column: nearest neighbours and their distance in Å.
Space group C2/m (No. 12)
Inequivalent atoms, fractional coordinates:
K 0.0000 0.0000 0.0000 (multiplicity 2)  2 K 2.71
Al 0.0000 0.5000 0.5000 (multiplicity 2)  6 Tc 2.60-2.81, 2 Al 2.71
Tc 0.2256 0.0000 0.6462 (multiplicity 4)  4 Tc 2.47-2.71, 2 Al 2.60

***

Hg2BiP | SCAN | single point on PBEsol structure

ΔH_f (0 K) = 593 meV/atom
Total magnetization = 0.000 μB/f.u.

Cell: 7.1455 7.1455 7.1455 Å, 90.00 90.00 90.00°
Last column: nearest neighbours and their distance in Å.
Space group Fm-3m (No. 225)
Inequivalent atoms, fractional coordinates:
Hg 0.2500 0.2500 0.2500 (multiplicity 8)  4 Bi 3.09, 4 P 3.09
Bi 0.0000 0.0000 0.0000 (multiplicity 4)  8 Hg 3.09
P 0.0000 0.0000 0.5000 (multiplicity 4)  8 Hg 3.09